# CdCoMo2Os, single point on PBEsol structure, DFT SCAN
data_CdCoMo2Os
_cell_length_a 4.3883
_cell_length_b 4.3883
_cell_length_c 4.4445
_cell_angle_alpha 90.00
_cell_angle_beta 90.00
_cell_angle_gamma 90.00
_space_group_name_H-M_alt 'P 1'
_space_group_IT_number 1
loop_
_space_group_symop_operation_xyz
'x,y,z'
loop_
_atom_site_label
_atom_site_type_symbol
_atom_site_fract_x
_atom_site_fract_y
_atom_site_fract_z
Co1 Co 0.0000 0.0000 0.0000
Mo1 Mo 0.0000 0.5000 0.0000
Mo2 Mo 0.5000 0.0000 0.0000
Os1 Os 0.0000 0.0000 0.5000
Cd1 Cd 0.5000 0.5000 0.5000
# **Total magnetization**: 0.000 μB per atom
# **Energy**: -36.524 eV per atom
# **Calculated formation energy**: 1350.2 meV/atom
# **Space group**: P4/mmm, No. 123
# **DOS(E_F)**: 5.3 states/eV/cell

---

# Cd3CoN, single point on PBEsol structure, DFT SCAN
data_Cd3CoN
_cell_length_a 4.4421
_cell_length_b 4.4421
_cell_length_c 4.4421
_cell_angle_alpha 90.00
_cell_angle_beta 90.00
_cell_angle_gamma 90.00
_space_group_name_H-M_alt 'P 1'
_space_group_IT_number 1
loop_
_space_group_symop_operation_xyz
'x,y,z'
loop_
_atom_site_label
_atom_site_type_symbol
_atom_site_fract_x
_atom_site_fract_y
_atom_site_fract_z
N1 N 0.0000 0.0000 0.0000
Co1 Co 0.5000 0.5000 0.5000
Cd1 Cd 0.0000 0.5000 0.0000
Cd2 Cd 0.0000 0.0000 0.5000
Cd3 Cd 0.5000 0.0000 0.0000
# **Total magnetization**: 0.362 μB per atom
# **Energy**: -22.819 eV per atom
# **Energy relative to the elements, uncorrected**: 0.748 eV per atom
# **Space group**: Pm-3m, No. 221
# **DOS(E_F)**: 2.5 states/eV/cell